Computed, not measured: Dy6PO12 after structural relaxation at the PBE level of DFT.

a = 6.3795 Å, b = 6.3795 Å, c = 6.3795 Å
α = 98.74°, β = 98.74°, γ = 98.74°
Sites, in units of the cell vectors:
Dy1 0.1074 0.8033 0.6421
Dy2 0.1967 0.3579 0.8926
Dy3 0.3579 0.8926 0.1967
Dy4 0.6421 0.1074 0.8033
Dy5 0.8033 0.6421 0.1074
Dy6 0.8926 0.1967 0.3579
P1 0.5000 0.5000 0.5000
O1 0.0602 0.9047 0.3231
O2 0.0953 0.6769 0.9398
O3 0.2267 0.4336 0.5243
O4 0.3231 0.0602 0.9047
O5 0.4336 0.5243 0.2267
O6 0.4757 0.7733 0.5664
O7 0.5243 0.2267 0.4336
O8 0.5664 0.4757 0.7733
O9 0.6769 0.9398 0.0953
O10 0.7733 0.5664 0.4757
O11 0.9047 0.3231 0.0602
O12 0.9398 0.0953 0.6769

Properties
- formation energy (no corrections) (meV/atom) = -3144.5
- crystal system = trigonal